Material: Be2Ga2Co
Method: DFT, PBE-GGA
State: optimized geometry

Cell: 5.860 5.860 3.414 Å, 90.00 90.00 90.00°
Last column: magnetic moment on the atom in μB.
Sites, in units of the cell vectors:
Co (0.500, 0.500, 0.000)  0.57
Co (0.000, 0.000, 0.000)  0.57
Ga (0.330, 0.170, 0.500)  0.00
Ga (0.170, 0.670, 0.500)  0.00
Ga (0.830, 0.330, 0.500)  0.00
Ga (0.670, 0.830, 0.500)  0.00
Be (0.366, 0.866, 0.000)  0.00
Be (0.134, 0.366, 0.000)  0.00
Be (0.866, 0.634, 0.000)  0.00
Be (0.634, 0.134, 0.000)  0.00

Calculated values
formation energy = 166 meV/atom
crystal system = tetragonal
uncorrected energy = -3.957 eV/atom

---

Material: Rb2LiReI6
Method: DFT, PBE-GGA
State: optimized geometry

Cell: 8.150 8.150 8.151 Å, 60.00 60.00 90.00°
Last column: magnetic moment on the atom in μB.
Sites, in units of the cell vectors:
I (0.761, 0.239, 0.000)  0.03
I (0.761, 0.761, 0.478)  0.03
I (0.239, 0.761, 0.000)  0.03
I (0.761, 0.761, 0.000)  0.03
I (0.239, 0.239, 0.522)  0.03
I (0.239, 0.239, 0.000)  0.03
Rb (0.250, 0.750, 0.500)  0.00
Rb (0.750, 0.250, 0.500)  0.00
Re (0.000, 0.000, 0.000)  1.49
Li (0.500, 0.500, 0.000)  0.00

Calculated values
formation energy (no corrections) = -64.1 kJ/mol of atoms
crystal system = cubic
uncorrected energy = -3.224 eV/atom

---

Material: Nb2O5
Method: DFT, PBE-GGA
State: optimized geometry

Cell: 7.632 3.853 6.790 Å, 90.00 90.41 90.00°
Sites, in units of the cell vectors:
O (0.176, 0.250, 0.552)
O (0.492, 0.750, 0.679)
O (0.969, 0.250, 0.145)
O (0.709, 0.750, 0.029)
O (0.031, 0.750, 0.855)
O (0.291, 0.250, 0.971)
O (0.808, 0.250, 0.743)
O (0.192, 0.750, 0.257)
O (0.508, 0.250, 0.321)
O (0.824, 0.750, 0.448)
Nb (0.904, 0.750, 0.196)
Nb (0.716, 0.750, 0.731)
Nb (0.096, 0.250, 0.804)
Nb (0.284, 0.250, 0.269)

Calculated values
formation energy (no corrections) = -239.7 kJ/mol of atoms
crystal system = monoclinic
offset from the most stable computed form = 62 meV per atom
uncorrected energy = -8.903 eV/atom

---

Material: GdYCuHg
Method: DFT, PBE-GGA
State: optimized geometry

Cell: 5.149 5.149 5.149 Å, 60.00 60.00 60.00°
Last column: magnetic moment on the atom in μB.
Sites, in units of the cell vectors:
Cu (0.250, 0.250, 0.250)  0.00
Gd (0.000, 0.000, 0.000)  7.00
Y (0.500, 0.500, 0.500)  -0.02
Hg (0.750, 0.750, 0.750)  0.00

Calculated values
formation energy = -328 meV/atom
crystal system = cubic
uncorrected energy = -6.564 eV/atom

---

Material: Tb6PmTh
Method: DFT, PBE-GGA
State: optimized geometry

Cell: 6.763 6.567 6.842 Å, 101.05 61.51 90.58°
Sites, in units of the cell vectors:
Tb (0.425, 0.233, 0.482)
Tb (0.909, 0.271, 0.518)
Tb (0.457, 0.253, 0.996)
Tb (0.575, 0.767, 0.518)
Tb (0.543, 0.747, 0.004)
Tb (0.091, 0.729, 0.482)
Th (0.000, 0.500, 0.000)
Pm (0.000, 0.000, 0.000)

Calculated values
formation energy = 219 meV/atom
crystal system = triclinic
offset from the most stable computed form = 193 meV per atom
uncorrected energy = -4.775 eV/atom

---

Material: Ba2Ga6PdPt
Method: DFT, PBE-GGA
State: optimized geometry

Cell: 6.661 7.160 7.154 Å, 55.52 62.19 89.98°
Sites, in units of the cell vectors:
Ga (0.650, 0.753, 0.094)
Ga (0.755, 0.257, 0.896)
Ga (0.745, 0.651, 0.502)
Ga (0.350, 0.247, 0.906)
Ga (0.245, 0.743, 0.104)
Ga (0.255, 0.349, 0.498)
Pd (0.000, 0.000, 0.000)
Pt (0.500, 0.500, 0.000)
Ba (0.794, 0.205, 0.412)
Ba (0.206, 0.795, 0.588)

Calculated values
formation energy = -553 meV/atom
crystal system = triclinic
uncorrected energy = -3.877 eV/atom

---

Material: Ce8InGa2
Method: DFT, PBE-GGA
State: optimized geometry

Cell: 5.621 8.361 7.991 Å, 58.46 80.25 71.11°
Last column: magnetic moment on the atom in μB.
Sites, in units of the cell vectors:
Ga (0.000, 0.689, 0.622)  -0.01
Ga (0.000, 0.311, 0.378)  -0.01
Ce (0.500, 0.760, 0.480)  0.78
Ce (0.924, 0.073, 0.211)  0.42
Ce (0.076, 0.927, 0.789)  0.42
Ce (0.332, 0.412, 0.000)  0.50
Ce (0.500, 0.240, 0.520)  0.78
Ce (0.076, 0.717, 0.211)  0.42
Ce (0.924, 0.283, 0.789)  0.42
Ce (0.668, 0.588, 0.000)  0.50
In (0.500, 0.000, 0.000)  -0.01

Calculated values
formation energy = -176 meV/atom
crystal system = monoclinic
offset from the most stable computed form = 17 meV per atom
uncorrected energy = -5.291 eV/atom

---

Material: YAgIr2
Method: DFT, PBE-GGA
State: optimized geometry

Cell: 5.003 5.003 5.086 Å, 78.64 78.64 35.25°
Sites, in units of the cell vectors:
Ir (0.499, 0.499, 0.529)
Ir (0.001, 0.001, 0.971)
Ag (0.750, 0.750, 0.750)
Y (0.250, 0.250, 0.250)

Calculated values
formation energy = -70 meV/atom
crystal system = monoclinic
offset from the most stable computed form = 152 meV per atom
uncorrected energy = -6.829 eV/atom

---

Material: AlFe3Tc
Method: DFT, PBE-GGA
State: optimized geometry

Cell: 4.095 4.095 4.095 Å, 90.00 90.00 90.00°
Sites, in units of the cell vectors:
Fe (0.000, 0.500, 0.000)
Fe (0.000, 0.000, 0.500)
Fe (0.500, 0.000, 0.000)
Tc (0.500, 0.500, 0.500)
Al (0.000, 0.000, 0.000)

Calculated values
formation energy = 1465 meV/atom
crystal system = cubic
offset from the most stable computed form = 112 meV per atom
uncorrected energy = -6.434 eV/atom

---

Material: LaThAsSe
Method: DFT, PBE-GGA
State: optimized geometry

Cell: 4.275 4.275 6.062 Å, 90.00 90.00 90.00°
Sites, in units of the cell vectors:
As (0.000, 0.000, 0.000)
La (0.000, 0.000, 0.500)
Se (0.500, 0.500, 0.500)
Th (0.500, 0.500, 0.000)

Calculated values
formation energy (no corrections) = -160.9 kJ/mol of atoms
crystal system = tetragonal
uncorrected energy = -6.788 eV/atom

---

Material: LaTbCoI
Method: DFT, PBE-GGA
State: optimized geometry

Cell: 4.021 4.019 8.456 Å, 90.00 103.71 119.99°
Sites, in units of the cell vectors:
La (0.519, 0.157, 0.692)
I (0.960, 0.378, 0.354)
Tb (0.093, 0.944, 0.052)
Co (0.306, 0.551, 0.872)

Calculated values
formation energy (no corrections) = -60.3 kJ/mol of atoms
crystal system = trigonal
uncorrected energy = -5.178 eV/atom

---

Material: TaMnP2Ir
Method: DFT, PBE-GGA
State: optimized geometry

Cell: 4.661 4.737 4.661 Å, 90.00 90.00 90.00°
Last column: magnetic moment on the atom in μB.
Sites, in units of the cell vectors:
Mn (0.000, 0.500, 0.000)  3.45
P (0.500, 0.000, 0.000)  0.07
P (0.000, 0.000, 0.500)  0.07
Ta (0.000, 0.000, 0.000)  -0.38
Ir (0.500, 0.500, 0.500)  -0.55

Calculated values
formation energy = 1306 meV/atom
crystal system = tetragonal
uncorrected energy = -6.835 eV/atom